1 | This record from the Alexandria database describes a crystal of CsMgOs3 relaxed with PBEsol. The functional is SCAN.

abc: 4.7356 4.7356 4.7356
angles: 90.00 90.00 90.00
With the nearest neighbours (Å) after each atom.
Atoms (fractional coordinates):
Cs  0.5000  0.5000  0.5000  12 Os 3.35
Os  0.0000  0.0000  0.5000  2 Mg 2.37
Os  0.0000  0.5000  0.0000  2 Mg 2.37
Os  0.5000  0.0000  0.0000  2 Mg 2.37
Mg  0.0000  0.0000  0.0000  6 Os 2.37

Properties
As for the space-group type: No. 221. The spin magnetization comes out at 2.75 μB per formula unit. The value obtained for the volume is 21.2 A^3/atom.

=====

2 | This record from the Alexandria database describes a crystal of CsMgOs3 relaxed with PBEsol. The functional is SCAN.

abc: 4.8806 4.8806 4.8806
angles: 90.00 90.00 90.00
With the nearest neighbours (Å) after each atom.
Atoms (fractional coordinates):
Mg  0.5000  0.5000  0.5000  12 Os 3.45
Cs  0.0000  0.0000  0.0000  6 Os 2.44
Os  0.0000  0.0000  0.5000  2 Cs 2.44
Os  0.0000  0.5000  0.0000  2 Cs 2.44
Os  0.5000  0.0000  0.0000  2 Cs 2.44

Properties
As for the space-group type: No. 221. The spin magnetization comes out at 1.38 μB per formula unit. The value obtained for the volume is 23.3 A^3/atom.

=====

Relative stability in meV/atom, measured from the most stable structure: 1 0; 2 1080

=====

1 | This record from the Alexandria database describes a crystal of CsMgP2S relaxed with PBEsol. The functional is SCAN.

abc: 4.9680 4.9680 5.0114
angles: 90.00 90.00 90.00
With the nearest neighbours (Å) after each atom.
Atoms (fractional coordinates):
P  0.5000  0.0000  0.0000  2 Mg 2.48
Cs  0.5000  0.5000  0.5000  4 S 3.51, 8 P 3.53
S  0.0000  0.0000  0.5000  2 Mg 2.51
P  0.0000  0.5000  0.0000  2 Mg 2.48
Mg  0.0000  0.0000  0.0000  4 P 2.48, 2 S 2.51

Properties
As for the space-group type: No. 123. The spin magnetization comes out at 1.50 μB per formula unit. The value obtained for the volume is 24.7 A^3/atom.

=====

2 | This record from the Alexandria database describes a crystal of CsMgP2S relaxed with PBEsol. The functional is SCAN.

abc: 4.8943 4.9461 4.9461
angles: 90.00 90.00 90.00
With the nearest neighbours (Å) after each atom.
Atoms (fractional coordinates):
Mg  0.5000  0.0000  0.0000  2 S 2.45
P  0.0000  0.5000  0.0000  2 S 2.47
Cs  0.5000  0.5000  0.5000  8 P 3.48, 4 Mg 3.50
P  0.0000  0.0000  0.5000  2 S 2.47
S  0.0000  0.0000  0.0000  2 Mg 2.45, 4 P 2.47

Properties
As for the space-group type: No. 123. The spin magnetization comes out at 0.00 μB per formula unit. The value obtained for the volume is 23.9 A^3/atom.

=====

Relative stability in meV/atom, measured from the most stable structure: 1 0; 2 209

=====

1 | This record from the Alexandria database describes a crystal of CsOsN2 relaxed with PBEsol. The functional is SCAN.

abc: 5.7107 6.2516 5.7107
angles: 62.82 90.00 117.18
With the nearest neighbours (Å) after each atom.
Atoms (fractional coordinates):
N  0.8750  0.7500  0.8750  2 Os 1.86
N  0.3750  0.2500  0.8750  2 Os 1.86
Cs  0.2500  0.5000  0.2500  8 N 3.41, 4 Os 3.72, 4 Cs 3.72
Cs  0.5000  0.0000  0.5000  8 N 3.41, 4 Os 3.72, 4 Cs 3.72
Os  0.7500  0.5000  0.7500  4 N 1.86
N  0.8750  0.7500  0.3750  2 Os 1.86
N  0.8750  0.2500  0.8750  2 Os 1.86
Os  0.0000  0.0000  0.0000  4 N 1.86

Properties
As for the space-group type: No. 141. The spin magnetization comes out at 0.00 μB per formula unit. The value obtained for the volume is 19.5 A^3/atom.

=====

2 | This record from the Alexandria database describes a crystal of CsOsN2 relaxed with PBEsol. The functional is SCAN.

abc: 3.3263 3.3263 7.1866
angles: 76.62 76.62 60.00
With the nearest neighbours (Å) after each atom.
Atoms (fractional coordinates):
Os  0.5000  0.5000  0.5000  6 N 2.06
N  0.8688  0.8688  0.3936  3 Os 2.06
Cs  0.0000  0.0000  0.0000  2 N 2.73
N  0.1312  0.1312  0.6064  3 Os 2.06

Properties
As for the space-group type: No. 166. The spin magnetization comes out at 0.00 μB per formula unit. The value obtained for the volume is 16.6 A^3/atom.

=====

Relative stability in meV/atom, measured from the most stable structure: 1 0; 2 777

=====

1 | This record from the Alexandria database describes a crystal of CsReN2 relaxed with PBEsol. The functional is SCAN.

abc: 6.0933 6.0933 6.0933
angles: 60.00 60.00 60.00
With the nearest neighbours (Å) after each atom.
Atoms (fractional coordinates):
Re  0.7500  0.7500  0.7500  4 N 1.87
N  0.6250  0.1250  0.6250  2 Re 1.87
Cs  0.0000  0.0000  0.0000  12 N 3.57, 4 Re 3.73, 4 Cs 3.73
N  0.1250  0.6250  0.6250  2 Re 1.87
N  0.6250  0.6250  0.6250  2 Re 1.87
N  0.6250  0.6250  0.1250  2 Re 1.87
Re  0.5000  0.5000  0.5000  4 N 1.87
Cs  0.2500  0.2500  0.2500  12 N 3.57, 4 Re 3.73, 4 Cs 3.73

Properties
As for the space-group type: No. 227. The spin magnetization comes out at 0.00 μB per formula unit. The value obtained for the volume is 20.0 A^3/atom.

=====

2 | This record from the Alexandria database describes a crystal of CsReN2 relaxed with PBEsol. The functional is SCAN.

abc: 4.1731 4.1731 4.1731
angles: 60.00 60.00 60.00
With the nearest neighbours (Å) after each atom.
Atoms (fractional coordinates):
Re  0.5000  0.5000  0.5000  8 N 2.56
Cs  0.0000  0.0000  0.0000  8 N 2.56
N  0.7500  0.7500  0.7500  4 Cs 2.56, 4 Re 2.56
N  0.2500  0.2500  0.2500  4 Re 2.56, 4 Cs 2.56

Properties
As for the space-group type: No. 225. The spin magnetization comes out at 0.00 μB per formula unit. The value obtained for the volume is 12.8 A^3/atom.

=====

Relative stability in meV/atom, measured from the most stable structure: 1 0; 2 3013

=====

1 | This record from the Alexandria database describes a crystal of CsTl3N relaxed with PBEsol. The functional is SCAN.

abc: 6.6559 6.6559 6.6559
angles: 90.00 90.00 90.00
With the nearest neighbours (Å) after each atom.
Atoms (fractional coordinates):
Cs  0.0000  0.0000  0.0000  6 Tl 3.33
Tl  0.5000  0.0000  0.0000  2 Cs 3.33
Tl  0.0000  0.5000  0.0000  2 Cs 3.33
Tl  0.0000  0.0000  0.5000  2 Cs 3.33
N  0.5000  0.5000  0.5000  12 Tl 4.71

Properties
As for the space-group type: No. 221. The spin magnetization comes out at 0.03 μB per formula unit. The value obtained for the volume is 59.0 A^3/atom.

=====

2 | This record from the Alexandria database describes a crystal of CsTl3N relaxed with PBEsol. The functional is SCAN.

abc: 5.3200 5.3200 5.3200
angles: 90.00 90.00 90.00
With the nearest neighbours (Å) after each atom.
Atoms (fractional coordinates):
Tl  0.5000  0.0000  0.0000  2 N 2.66
Cs  0.5000  0.5000  0.5000  12 Tl 3.76
Tl  0.0000  0.0000  0.5000  2 N 2.66
N  0.0000  0.0000  0.0000  6 Tl 2.66
Tl  0.0000  0.5000  0.0000  2 N 2.66

Properties
As for the space-group type: No. 221. The spin magnetization comes out at 1.24 μB per formula unit. The value obtained for the volume is 30.1 A^3/atom.

=====

Relative stability in meV/atom, measured from the most stable structure: 1 1105; 2 0

=====

1 | This record from the Alexandria database describes a crystal of CsWN2 relaxed with PBEsol. The functional is SCAN.

abc: 6.1611 6.1611 6.1611
angles: 60.00 60.00 60.00
With the nearest neighbours (Å) after each atom.
Atoms (fractional coordinates):
N  0.6250  0.1250  0.6250  2 W 1.89
Cs  0.2500  0.2500  0.2500  12 N 3.61, 4 W 3.77, 4 Cs 3.77
Cs  0.0000  0.0000  0.0000  12 N 3.61, 4 W 3.77, 4 Cs 3.77
W  0.7500  0.7500  0.7500  4 N 1.89
N  0.6250  0.6250  0.6250  2 W 1.89
N  0.6250  0.6250  0.1250  2 W 1.89
W  0.5000  0.5000  0.5000  4 N 1.89
N  0.1250  0.6250  0.6250  2 W 1.89

Properties
As for the space-group type: No. 227. The spin magnetization comes out at 0.00 μB per formula unit. The value obtained for the volume is 20.7 A^3/atom.

=====

2 | This record from the Alexandria database describes a crystal of CsWN2 relaxed with PBEsol. The functional is SCAN.

abc: 4.1673 4.1673 4.1673
angles: 60.00 60.00 60.00
With the nearest neighbours (Å) after each atom.
Atoms (fractional coordinates):
N  0.7500  0.7500  0.7500  4 Cs 2.55, 4 W 2.55
W  0.5000  0.5000  0.5000  8 N 2.55
Cs  0.0000  0.0000  0.0000  8 N 2.55
N  0.2500  0.2500  0.2500  4 W 2.55, 4 Cs 2.55

Properties
As for the space-group type: No. 225. The spin magnetization comes out at 0.00 μB per formula unit. The value obtained for the volume is 12.8 A^3/atom.

=====

Relative stability in meV/atom, measured from the most stable structure: 1 0; 2 3031

=====

1 | This record from the Alexandria database describes a crystal of CsNa2P2 relaxed with PBEsol. The functional is SCAN.

abc: 5.1802 5.1802 6.0997
angles: 115.13 115.13 90.00
With the nearest neighbours (Å) after each atom.
Atoms (fractional coordinates):
Na  0.2500  0.7500  0.5000  4 P 2.93
P  0.3900  0.3900  0.7800  1 P 2.15
Na  0.7500  0.2500  0.5000  4 P 2.93
Cs  0.0000  0.0000  0.0000  8 Na 3.56, 10 P 3.80-3.82
P  0.6100  0.6100  0.2200  1 P 2.15

Properties
As for the space-group type: No. 139. The spin magnetization comes out at 0.79 μB per formula unit. The value obtained for the volume is 26.2 A^3/atom.

=====

2 | This record from the Alexandria database describes a crystal of CsNa2P2 relaxed with PBEsol. The functional is SCAN.

abc: 3.8534 8.2166 8.2166
angles: 90.00 90.00 90.00
With the nearest neighbours (Å) after each atom.
Atoms (fractional coordinates):
Na  0.0000  0.3468  0.8468  4 P 2.85, 2 Cs 3.12
Cs  0.0000  0.0000  0.0000  4 Na 3.12
P  0.5000  0.4040  0.0960  1 P 2.23
Na  0.0000  0.1532  0.3468  4 P 2.85, 2 Cs 3.12
P  0.5000  0.5960  0.9040  1 P 2.23
P  0.5000  0.0960  0.5960  1 P 2.23
Cs  0.0000  0.5000  0.5000  4 Na 3.12
Na  0.0000  0.6532  0.1532  4 P 2.85, 2 Cs 3.12
Na  0.0000  0.8468  0.6532  4 P 2.85, 2 Cs 3.12
P  0.5000  0.9040  0.4040  1 P 2.23

Properties
As for the space-group type: No. 127. The spin magnetization comes out at 0.00 μB per formula unit. The value obtained for the volume is 26.0 A^3/atom.

=====

Relative stability in meV/atom, measured from the most stable structure: 1 0; 2 191